[1]
This record from OQMD describes PmNpMo after structural relaxation. The functional is PBE.

Computed properties:
energy relative to the elements	0.853	eV/atom
energy relative to the lowest polymorph listed for this composition	0.00	kJ per mole of atoms
E_tot	-8.60	eV per atom

CIF file:
```
data_PmNpMo
_chemical_formula_sum 'Pm4 Np4 Mo4'
_cell_length_a 6.7070
_cell_length_b 6.7070
_cell_length_c 6.7070
_cell_angle_alpha 90.00
_cell_angle_beta 90.00
_cell_angle_gamma 90.00
_symmetry_space_group_name_H-M 'F -4 3 m'
_symmetry_Int_Tables_number 216
_symmetry_space_group_name_Hall 'F -4 2 3'
loop_
_atom_site_label
_atom_site_fract_x
_atom_site_fract_y
_atom_site_fract_z
Pm1 0.0000 0.0000 0.0000
Np1 0.0000 0.0000 0.5000
Mo1 0.2500 0.2500 0.7500
```



[2]
This record from OQMD describes NpMoPt after structural relaxation. The functional is PBE.

Computed properties:
energy relative to the elements	0.339	eV/atom
energy relative to the lowest polymorph listed for this composition	0.00	kJ per mole of atoms
E_tot	-9.55	eV per atom

CIF file:
```
data_NpMoPt
_chemical_formula_sum 'Np4 Mo4 Pt4'
_cell_length_a 6.2871
_cell_length_b 6.2871
_cell_length_c 6.2871
_cell_angle_alpha 90.00
_cell_angle_beta 90.00
_cell_angle_gamma 90.00
_symmetry_space_group_name_H-M 'F -4 3 m'
_symmetry_Int_Tables_number 216
_symmetry_space_group_name_Hall 'F -4 2 3'
loop_
_atom_site_label
_atom_site_fract_x
_atom_site_fract_y
_atom_site_fract_z
Np1 0.0000 0.0000 0.0000
Mo1 0.2500 0.2500 0.2500
Pt1 0.0000 0.0000 0.5000
```